SmY2CrN4 PBE relaxed; symmetry = Cmcm (63); size of the total moment = 1.835 μB/f.u.; crystal system = orthorhombic; raw total energy = -8.794 eV per atom; formation energy from raw total energies = -1.222 eV per atom
1.0
3.3997 0.0000 0.0000
-1.6998 5.7564 0.0000
0.0000 0.0000 11.6580
N Y Sm Cr
8 4 2 2
direct
0.0000 0.0000 0.5000 N
0.4261 0.8522 0.7500 N
0.7341 0.4683 0.8706 N
0.0000 0.0000 0.0000 N
0.7341 0.4683 0.6294 N
0.2659 0.5317 0.1294 N
0.5739 0.1478 0.2500 N
0.2659 0.5317 0.3706 N
0.3690 0.7381 0.9567 Y
0.6310 0.2619 0.0433 Y
0.6310 0.2619 0.4567 Y
0.3690 0.7381 0.5433 Y
0.1008 0.2017 0.7500 Sm
0.8992 0.7983 0.2500 Sm
0.1637 0.3274 0.2500 Cr
0.8363 0.6726 0.7500 Cr

=====

CdAu3Se PBE relaxed; symmetry = Pm-3m (221); size of the total moment = 0.000 μB/f.u.; crystal system = cubic; raw total energy = -2.441 eV per atom; energy relative to the lowest polymorph listed for this composition = 0.0 kJ per mole of atoms; formation energy from raw total energies = 0.406 eV per atom
1.0
-1.0040 3.4177 3.6374
-3.3058 -3.2351 2.1272
3.7394 -1.9424 2.8572
Se Au Cd
1 3 1
direct
0.0000 0.0000 0.0000 Se
0.5000 0.0000 0.0000 Au
0.0000 0.0000 0.5000 Au
0.0000 0.5000 0.0000 Au
0.5000 0.5000 0.5000 Cd

=====

Sm3Ge6Pt2Rh PBE relaxed; symmetry = P-3m1 (164); energy of formation = -0.469 eV per atom; size of the total moment = 0.000 μB/f.u.; crystal system = trigonal; raw total energy = -5.577 eV per atom
1.0
-4.4799 3.6517 1.4465
-0.2552 -3.1802 -5.0316
-3.5922 -5.9750 3.9586
Ge Sm Rh Pt
6 3 1 2
direct
0.1878 0.8122 0.2928 Ge
0.6244 0.8122 0.2928 Ge
0.8122 0.6244 0.7072 Ge
0.8122 0.1878 0.7072 Ge
0.1878 0.3756 0.2928 Ge
0.3756 0.1878 0.7072 Ge
0.0000 0.0000 0.0000 Sm
0.3333 0.6667 0.6381 Sm
0.6667 0.3333 0.3619 Sm
0.0000 0.0000 0.5000 Rh
0.6667 0.3333 0.9739 Pt
0.3333 0.6667 0.0261 Pt

=====

Pm2ScAl4Au3 PBE relaxed; symmetry = P-4m2 (115); energy of formation = -0.654 eV per atom; size of the total moment = 0.000 μB/f.u.; crystal system = tetragonal; raw total energy = -4.717 eV per atom
1.0
-2.4716 2.0603 -2.8299
-3.1906 0.0990 2.8587
3.8708 10.0975 3.9706
Au Al Pm Sc
3 4 2 1
direct
0.0000 0.0000 0.5000 Au
0.5000 0.0000 0.8728 Au
0.0000 0.5000 0.1272 Au
0.0000 0.0000 0.0000 Al
0.5000 0.5000 0.0000 Al
0.5000 0.0000 0.6550 Al
0.0000 0.5000 0.3450 Al
0.0000 0.5000 0.7597 Pm
0.5000 0.0000 0.2403 Pm
0.5000 0.5000 0.5000 Sc

=====

YMgAs3 PBE relaxed; symmetry = Pm-3m (221); energy of formation = 0.006 eV per atom; size of the total moment = 0.000 μB/f.u.; crystal system = cubic; raw total energy = -4.395 eV per atom; energy relative to the lowest polymorph listed for this composition = 0.0 kJ per mole of atoms
1.0
4.9383 0.0000 0.0000
0.0000 4.9383 0.0000
0.0000 0.0000 4.9383
Mg As Y
1 3 1
direct
0.0000 0.0000 0.0000 Mg
0.5000 0.0000 0.0000 As
0.0000 0.5000 0.0000 As
0.0000 0.0000 0.5000 As
0.5000 0.5000 0.5000 Y

=====

Mg16CdGa12 PBE relaxed; symmetry = Cm (8); energy of formation = -0.124 eV per atom; size of the total moment = 0.000 μB/f.u.; crystal system = monoclinic; raw total energy = -2.288 eV per atom
1.0
8.5289 0.0094 -3.0233
-4.2031 7.4214 -3.0233
0.0067 0.0116 9.1104
Ga Mg Cd
12 16 1
direct
0.3632 0.1799 0.9924 Ga
0.9960 0.3735 0.1848 Ga
0.1945 0.0011 0.3673 Ga
0.8204 0.8204 0.1790 Ga
0.1798 0.8047 0.8089 Ga
0.6253 0.6253 0.8211 Ga
0.8203 0.6293 0.6422 Ga
0.8047 0.1798 0.8089 Ga
0.1799 0.3632 0.9924 Ga
0.0011 0.1945 0.3673 Ga
0.6293 0.8203 0.6422 Ga
0.3735 0.9960 0.1848 Ga
0.3069 0.3069 0.7024 Mg
0.9978 0.3959 0.6832 Mg
0.3986 0.6766 0.9997 Mg
0.3959 0.9978 0.6832 Mg
0.0012 0.0012 0.0027 Mg
0.3224 0.7078 0.3172 Mg
0.6766 0.3986 0.9997 Mg
0.2869 0.6002 0.6018 Mg
0.6002 0.2869 0.6018 Mg
0.9957 0.9957 0.6646 Mg
0.6898 0.0036 0.3943 Mg
0.7078 0.3224 0.3172 Mg
0.3451 0.3451 0.3322 Mg
0.0036 0.6898 0.3943 Mg
0.0035 0.6572 0.0060 Mg
0.6572 0.0035 0.0060 Mg
0.6226 0.6226 0.3025 Cd